1.
HfGe3Pb: optimized geometry, PBE.

Results
Formation energy from the elements   1.7 eV per formula unit
Uncorrected energy   -5.166 eV per atom
Size of the total moment   0.00 μB/cell
Energy relative to the lowest polymorph listed for this composition   0.0 kJ per mole of atoms
Density of states at the Fermi level   3.1 states/eV per cell

The structure in CIF format:
```
data_HfGe3Pb
_cell_length_a 5.189
_cell_length_b 5.189
_cell_length_c 5.189
_cell_angle_alpha 90.00
_cell_angle_beta 90.00
_cell_angle_gamma 90.00
_space_group_name_H-M_alt 'P m -3 m'
_space_group_IT_number 221
_space_group_name_Hall '-P 4 2 3'
loop_
_atom_site_label
_atom_site_type_symbol
_atom_site_fract_x
_atom_site_fract_y
_atom_site_fract_z
Hf1 Hf 0.000 0.000 0.000
Ge1 Ge 0.000 0.000 0.500
Pb1 Pb 0.500 0.500 0.500
```

---

2.
Hf8GePb2: optimized geometry, PBE.

Results
Formation energy from the elements   0.3 eV per formula unit
Uncorrected energy   -8.307 eV per atom
Size of the total moment   0.00 μB/cell
Density of states at the Fermi level   18.8 states/eV per cell

The structure in CIF format:
```
data_Hf8GePb2
_cell_length_a 18.581
_cell_length_b 4.794
_cell_length_c 5.861
_cell_angle_alpha 90.00
_cell_angle_beta 106.79
_cell_angle_gamma 90.00
_space_group_name_H-M_alt 'C 1 2/m 1'
_space_group_IT_number 12
loop_
_space_group_symop_operation_xyz
'x,y,z'
'-x,-y,-z'
'-x,y,-z'
'x,-y,z'
'x+1/2,y+1/2,z'
'-x+1/2,-y+1/2,-z'
'-x+1/2,y+1/2,-z'
'x+1/2,-y+1/2,z'
loop_
_atom_site_label
_atom_site_type_symbol
_atom_site_fract_x
_atom_site_fract_y
_atom_site_fract_z
Hf1 Hf 0.021 0.000 0.264
Hf2 Hf 0.085 0.500 0.001
Hf3 Hf 0.149 0.500 0.557
Hf4 Hf 0.232 0.000 0.847
Ge1 Ge 0.000 0.500 0.500
Pb1 Pb 0.180 0.000 0.284
```

---

3.
Hf2GePb2: optimized geometry, PBE.

Results
Formation energy from the elements   -0.4 eV per formula unit
Uncorrected energy   -6.465 eV per atom
Size of the total moment   0.00 μB/cell
Density of states at the Fermi level   4.2 states/eV per cell

The structure in CIF format:
```
data_Hf2GePb2
_cell_length_a 7.144
_cell_length_b 7.144
_cell_length_c 4.679
_cell_angle_alpha 90.00
_cell_angle_beta 90.00
_cell_angle_gamma 90.00
_space_group_name_H-M_alt 'P 4/m b m'
_space_group_IT_number 127
_space_group_name_Hall '-P 4 2ab'
loop_
_atom_site_label
_atom_site_type_symbol
_atom_site_fract_x
_atom_site_fract_y
_atom_site_fract_z
Hf1 Hf 0.155 0.345 0.000
Ge1 Ge 0.000 0.000 0.000
Pb1 Pb 0.160 0.660 0.500
```

---

4.
HfGe3Pb: optimized geometry, PBE.

Results
Formation energy from the elements   6.8 eV per formula unit
Uncorrected energy   -4.139 eV per atom
Size of the total moment   0.00 μB/cell
Energy relative to the lowest polymorph listed for this composition   99.0 kJ per mole of atoms
Density of states at the Fermi level   5.1 states/eV per cell

The structure in CIF format:
```
data_HfGe3Pb
_cell_length_a 5.240
_cell_length_b 5.240
_cell_length_c 5.240
_cell_angle_alpha 90.00
_cell_angle_beta 90.00
_cell_angle_gamma 90.00
_space_group_name_H-M_alt 'P m -3 m'
_space_group_IT_number 221
_space_group_name_Hall '-P 4 2 3'
loop_
_atom_site_label
_atom_site_type_symbol
_atom_site_fract_x
_atom_site_fract_y
_atom_site_fract_z
Hf1 Hf 0.000 0.000 0.000
Ge1 Ge 0.000 0.500 0.500
Pb1 Pb 0.500 0.500 0.500
```

---

5.
HfGePb2: optimized geometry, PBE.

Results
Formation energy from the elements   1.5 eV per formula unit
Uncorrected energy   -5.109 eV per atom
Size of the total moment   0.00 μB/cell
Density of states at the Fermi level   9.6 states/eV per cell

The structure in CIF format:
```
data_HfGePb2
_cell_length_a 8.291
_cell_length_b 8.291
_cell_length_c 6.043
_cell_angle_alpha 90.00
_cell_angle_beta 90.00
_cell_angle_gamma 90.00
_space_group_name_H-M_alt 'I -4 2 d'
_space_group_IT_number 122
_space_group_name_Hall 'I -4 2bw'
loop_
_atom_site_label
_atom_site_type_symbol
_atom_site_fract_x
_atom_site_fract_y
_atom_site_fract_z
Hf1 Hf 0.000 0.000 0.000
Ge1 Ge 0.000 0.000 0.500
Pb1 Pb 0.246 0.750 0.625
```

---

6.
Hf6GePb: optimized geometry, PBE.

Results
Formation energy from the elements   0.4 eV per formula unit
Uncorrected energy   -8.450 eV per atom
Size of the total moment   0.00 μB/cell
Density of states at the Fermi level   20.3 states/eV per cell

The structure in CIF format:
```
data_Hf6GePb
_cell_length_a 7.212
_cell_length_b 9.955
_cell_length_c 6.029
_cell_angle_alpha 90.00
_cell_angle_beta 123.80
_cell_angle_gamma 90.00
_space_group_name_H-M_alt 'C 1 2/m 1'
_space_group_IT_number 12
loop_
_space_group_symop_operation_xyz
'x,y,z'
'-x,-y,-z'
'-x,y,-z'
'x,-y,z'
'x+1/2,y+1/2,z'
'-x+1/2,-y+1/2,-z'
'-x+1/2,y+1/2,-z'
'x+1/2,-y+1/2,z'
loop_
_atom_site_label
_atom_site_type_symbol
_atom_site_fract_x
_atom_site_fract_y
_atom_site_fract_z
Hf1 Hf 0.009 0.238 0.250
Hf2 Hf 0.243 0.000 0.760
Ge1 Ge 0.000 0.000 0.000
Pb1 Pb 0.000 0.500 0.500
```

---

7.
Hf2Ge2Pb: optimized geometry, PBE.

Results
Formation energy from the elements   -0.7 eV per formula unit
Uncorrected energy   -6.719 eV per atom
Size of the total moment   0.00 μB/cell
Energy relative to the lowest polymorph listed for this composition   1.8 kJ per mole of atoms
Density of states at the Fermi level   8.3 states/eV per cell

The structure in CIF format:
```
data_Hf2Ge2Pb
_cell_length_a 7.648
_cell_length_b 7.648
_cell_length_c 3.619
_cell_angle_alpha 90.00
_cell_angle_beta 90.00
_cell_angle_gamma 90.00
_space_group_name_H-M_alt 'P 4/m b m'
_space_group_IT_number 127
_space_group_name_Hall '-P 4 2ab'
loop_
_atom_site_label
_atom_site_type_symbol
_atom_site_fract_x
_atom_site_fract_y
_atom_site_fract_z
Hf1 Hf 0.150 0.350 0.000
Ge1 Ge 0.140 0.640 0.500
Pb1 Pb 0.000 0.000 0.500
```

---

8.
Hf4GePb: optimized geometry, PBE.

Results
Formation energy from the elements   -1.6 eV per formula unit
Uncorrected energy   -8.290 eV per atom
Size of the total moment   0.00 μB/cell
Density of states at the Fermi level   16.1 states/eV per cell

The structure in CIF format:
```
data_Hf4GePb
_cell_length_a 7.809
_cell_length_b 12.497
_cell_length_c 5.620
_cell_angle_alpha 90.00
_cell_angle_beta 110.27
_cell_angle_gamma 90.00
_space_group_name_H-M_alt 'C 1 2/c 1'
_space_group_IT_number 15
loop_
_space_group_symop_operation_xyz
'x,y,z'
'-x,-y,-z'
'-x,y,-z+1/2'
'x,-y,z+1/2'
'x+1/2,y+1/2,z'
'-x+1/2,-y+1/2,-z'
'-x+1/2,y+1/2,-z+1/2'
'x+1/2,-y+1/2,z+1/2'
loop_
_atom_site_label
_atom_site_type_symbol
_atom_site_fract_x
_atom_site_fract_y
_atom_site_fract_z
Hf1 Hf 0.094 0.187 0.054
Hf2 Hf 0.208 0.398 0.361
Ge1 Ge 0.000 0.003 0.750
Pb1 Pb 0.000 0.393 0.750
```

---

9.
HfGePb2S: optimized geometry, PBE.

Results
Uncorrected energy   -4.943 eV per atom
Size of the total moment   0.00 μB/cell
Formation energy (no corrections)   135 kJ/mol of formula units
Density of states at the Fermi level   6.2 states/eV per cell

The structure in CIF format:
```
data_HfGePb2S
_cell_length_a 5.796
_cell_length_b 5.796
_cell_length_c 4.713
_cell_angle_alpha 90.00
_cell_angle_beta 90.00
_cell_angle_gamma 90.00
_space_group_name_H-M_alt 'P 4/m m m'
_space_group_IT_number 123
_space_group_name_Hall '-P 4 2'
loop_
_atom_site_label
_atom_site_type_symbol
_atom_site_fract_x
_atom_site_fract_y
_atom_site_fract_z
Hf1 Hf 0.000 0.000 0.000
Ge1 Ge 0.500 0.500 0.500
Pb1 Pb 0.000 0.500 0.000
S1 S 0.000 0.000 0.500
```

---

10.
Hf2GePbSe: optimized geometry, PBE.

Results
Uncorrected energy   -4.979 eV per atom
Size of the total moment   0.00 μB/cell
Formation energy (no corrections)   658 kJ/mol of formula units
Density of states at the Fermi level   4.7 states/eV per cell

The structure in CIF format:
```
data_Hf2GePbSe
_cell_length_a 5.473
_cell_length_b 5.473
_cell_length_c 5.211
_cell_angle_alpha 90.00
_cell_angle_beta 90.00
_cell_angle_gamma 90.00
_space_group_name_H-M_alt 'P 4/m m m'
_space_group_IT_number 123
_space_group_name_Hall '-P 4 2'
loop_
_atom_site_label
_atom_site_type_symbol
_atom_site_fract_x
_atom_site_fract_y
_atom_site_fract_z
Hf1 Hf 0.000 0.500 0.000
Ge1 Ge 0.000 0.000 0.500
Pb1 Pb 0.500 0.500 0.000
Se1 Se 0.500 0.500 0.500
```

---

11.
Hf2TlGePb: optimized geometry, PBE.

Results
Formation energy from the elements   7.0 eV per formula unit
Uncorrected energy   -4.711 eV per atom
Size of the total moment   0.04 μB/cell
Density of states at the Fermi level   6.8 states/eV per cell

The structure in CIF format:
```
data_Hf2TlGePb
_cell_length_a 5.436
_cell_length_b 5.436
_cell_length_c 5.654
_cell_angle_alpha 90.00
_cell_angle_beta 90.00
_cell_angle_gamma 90.00
_space_group_name_H-M_alt 'P 4/m m m'
_space_group_IT_number 123
_space_group_name_Hall '-P 4 2'
loop_
_atom_site_label
_atom_site_type_symbol
_atom_site_fract_x
_atom_site_fract_y
_atom_site_fract_z
Hf1 Hf 0.000 0.500 0.000
Tl1 Tl 0.000 0.000 0.500
Ge1 Ge 0.500 0.500 0.500
Pb1 Pb 0.000 0.000 0.000
```

---

12.
HfTl2GePb: optimized geometry, PBE.

Results
Formation energy from the elements   2.3 eV per formula unit
Uncorrected energy   -4.150 eV per atom
Size of the total moment   0.00 μB/cell
Density of states at the Fermi level   5.6 states/eV per cell

The structure in CIF format:
```
data_HfTl2GePb
_cell_length_a 5.614
_cell_length_b 5.614
_cell_length_c 5.203
_cell_angle_alpha 90.00
_cell_angle_beta 90.00
_cell_angle_gamma 90.00
_space_group_name_H-M_alt 'P 4/m m m'
_space_group_IT_number 123
_space_group_name_Hall '-P 4 2'
loop_
_atom_site_label
_atom_site_type_symbol
_atom_site_fract_x
_atom_site_fract_y
_atom_site_fract_z
Hf1 Hf 0.000 0.000 0.000
Tl1 Tl 0.000 0.500 0.000
Ge1 Ge 0.000 0.000 0.500
Pb1 Pb 0.500 0.500 0.500
```

---

13.
HfGe2Pd4: optimized geometry, PBE.

Results
Formation energy from the elements   2.2 eV per formula unit
Uncorrected energy   -5.400 eV per atom
Size of the total moment   0.00 μB/cell
Density of states at the Fermi level   8.2 states/eV per cell

The structure in CIF format:
```
data_HfGe2Pd4
_cell_length_a 4.989
_cell_length_b 4.989
_cell_length_c 12.510
_cell_angle_alpha 90.00
_cell_angle_beta 90.00
_cell_angle_gamma 90.00
_space_group_name_H-M_alt 'I 4/m m m'
_space_group_IT_number 139
_space_group_name_Hall '-I 4 2'
loop_
_atom_site_label
_atom_site_type_symbol
_atom_site_fract_x
_atom_site_fract_y
_atom_site_fract_z
Hf1 Hf 0.000 0.000 0.000
Ge1 Ge 0.000 0.000 0.396
Pd1 Pd 0.000 0.000 0.198
Pd2 Pd 0.000 0.500 0.000
```